w | VASP calculation (GGA-PBE) on crystalline BaHf3Ta at its relaxed geometry.

Cell: 5.3031 5.3031 5.3031 Å, 90.00 90.00 90.00°
Closest atoms and distances in Å follow each position.
Space group Pm-3m (No. 221)
Asymmetric unit:
Ba  0.0000  0.0000  0.0000  12 Hf 3.75
Hf  0.0000  0.5000  0.5000  2 Ta 2.65
Ta  0.5000  0.5000  0.5000  6 Hf 2.65



x | VASP calculation (GGA-PBE) on crystalline BaHf3Ta at its relaxed geometry.

Cell: 5.1495 5.1495 5.1495 Å, 90.00 90.00 90.00°
Closest atoms and distances in Å follow each position.
Space group Pm-3m (No. 221)
Asymmetric unit:
Ba  0.0000  0.0000  0.0000  6 Hf 2.57
Hf  0.0000  0.0000  0.5000  2 Ba 2.57
Ta  0.5000  0.5000  0.5000  12 Hf 3.64



Ordering by calculated energy gives the sequence w, x, with the first entry being the most stable.



w | VASP calculation (GGA-PBE) on crystalline BaHfTc at its relaxed geometry.

Cell: 9.3392 3.5481 11.9109 Å, 90.00 108.16 90.00°
Closest atoms and distances in Å follow each position.
Space group C2/m (No. 12)
Asymmetric unit:
Ba  0.1851  0.0000  0.1652  2 Tc 3.20, 2 Ba 3.55
Hf  0.1054  0.5000  0.4271  5 Tc 2.62-2.78
Tc  0.1343  0.0000  0.6126  5 Hf 2.62-2.78



x | VASP calculation (GGA-PBE) on crystalline BaHfTc at its relaxed geometry.

Cell: 3.4655 3.4655 13.3962 Å, 90.00 90.00 90.00°
Closest atoms and distances in Å follow each position.
Space group I4mm (No. 107)
Asymmetric unit:
Ba  0.0000  0.0000  0.0000  4 Tc 3.41, 4 Ba 3.47, 1 Hf 3.53
Hf  0.0000  0.0000  0.7362  4 Tc 2.71
Tc  0.0000  0.0000  0.3233  4 Hf 2.71



Ordering by calculated energy gives the sequence w, x, with the first entry being the most stable.



w | VASP calculation (GGA-PBE) on crystalline BaHfTc at its relaxed geometry.

Cell: 3.6392 3.6709 12.7658 Å, 90.00 97.67 90.00°
Closest atoms and distances in Å follow each position.
Space group P2_1/m (No. 11)
Asymmetric unit:
Ba  0.0890  0.2500  0.1587  1 Hf 3.45, 4 Tc 3.55, 4 Ba 3.64-3.67
Hf  0.2178  0.2500  0.4311  5 Tc 2.75-2.78
Tc  0.3197  0.2500  0.6488  5 Hf 2.75-2.78



x | VASP calculation (GGA-PBE) on crystalline BaHfTc at its relaxed geometry.

Cell: 3.3659 4.4599 11.5559 Å, 90.00 91.14 90.00°
Closest atoms and distances in Å follow each position.
Space group P2_1/m (No. 11)
Asymmetric unit:
Ba  0.1858  0.2500  0.1567  1 Tc 2.93
Hf  0.4993  0.2500  0.5971  6 Tc 2.76-2.83
Tc  0.0170  0.7500  0.5975  6 Hf 2.76-2.83, 1 Ba 2.93



y | VASP calculation (GGA-PBE) on crystalline BaHfTc at its relaxed geometry.

Cell: 8.2162 4.8832 10.2769 Å, 90.00 93.06 90.00°
Closest atoms and distances in Å follow each position.
Space group C2/m (No. 12)
Asymmetric unit:
Ba  0.1533  0.0000  0.3120  3 Tc 3.31-3.59, 1 Hf 3.65
Hf  0.1733  0.0000  0.9427  3 Tc 2.68-2.75, 2 Hf 2.96
Tc  0.0505  0.5000  0.8944  1 Tc 2.36



Ordering by calculated energy gives the sequence w, x, y, with the first entry being the most stable.



w | VASP calculation (GGA-PBE) on crystalline Ba2HfTc at its relaxed geometry.

Cell: 7.8220 7.8220 7.8220 Å, 90.00 90.00 90.00°
Closest atoms and distances in Å follow each position.
Space group Fm-3m (No. 225)
Asymmetric unit:
Ba  0.2500  0.2500  0.2500  4 Hf 3.39, 4 Tc 3.39
Hf  0.0000  0.0000  0.0000  8 Ba 3.39
Tc  0.0000  0.0000  0.5000  8 Ba 3.39



x | VASP calculation (GGA-PBE) on crystalline Ba2HfTc at its relaxed geometry.

Cell: 12.2785 12.2785 4.8320 Å, 90.00 90.00 90.00°
Closest atoms and distances in Å follow each position.
Space group I-42d (No. 122)
Asymmetric unit:
Ba  0.0710  0.2500  0.1250  2 Tc 3.25
Hf  0.0000  0.0000  0.5000  2 Tc 2.42
Tc  0.0000  0.0000  0.0000  2 Hf 2.42



Ordering by calculated energy gives the sequence x, w, with the first entry being the most stable.



w | VASP calculation (GGA-PBE) on crystalline BaHf4Te8 at its relaxed geometry.

Cell: 12.3177 12.3177 12.3177 Å, 90.00 90.00 90.00°
Closest atoms and distances in Å follow each position.
Space group F-43m (No. 216)
Asymmetric unit:
Ba  0.0000  0.0000  0.0000  4 Te 3.14
Hf  0.1140  0.1140  0.6140  6 Te 2.91-3.00
Te  0.1217  0.1217  0.3783  3 Hf 2.91
Te  0.1471  0.1471  0.8529  3 Hf 3.00, 1 Ba 3.14



x | VASP calculation (GGA-PBE) on crystalline BaHf4Te8 at its relaxed geometry.

Cell: 8.0222 8.0222 25.6003 Å, 90.00 90.00 120.00°
Closest atoms and distances in Å follow each position.
Space group R-3m (No. 166, hexagonal axes)
Asymmetric unit:
Ba  0.0000  0.0000  0.0000  6 Te 3.44
Hf  0.0000  0.0000  0.5000  6 Te 2.88
Hf  0.0000  0.5000  0.5000  6 Te 2.90-2.92
Te  0.0000  0.0000  0.2350  3 Hf 2.90
Te  0.0058  0.5029  0.2354  3 Hf 2.88-2.92



Ordering by calculated energy gives the sequence x, w, with the first entry being the most stable.



w | VASP calculation (GGA-PBE) on crystalline BaHfTe2 at its relaxed geometry.

Cell: 4.1020 4.1020 31.3566 Å, 90.00 90.00 120.00°
Closest atoms and distances in Å follow each position.
Space group R-3m (No. 166, hexagonal axes)
Asymmetric unit:
Ba  0.0000  0.0000  0.0000  2 Te 3.51
Hf  0.0000  0.0000  0.5000  6 Te 2.93
Te  0.0000  0.0000  0.1119  3 Hf 2.93



x | VASP calculation (GGA-PBE) on crystalline BaHfTe2 at its relaxed geometry.

Cell: 7.7879 7.7879 7.7879 Å, 90.00 90.00 90.00°
Closest atoms and distances in Å follow each position.
Space group Fm-3m (No. 225)
Asymmetric unit:
Ba  0.0000  0.0000  0.0000  8 Te 3.37
Hf  0.0000  0.0000  0.5000  8 Te 3.37
Te  0.2500  0.2500  0.2500  4 Hf 3.37, 4 Ba 3.37



Ordering by calculated energy gives the sequence w, x, with the first entry being the most stable.